1.
CeSm2ErTe5 (PBE, relaxed); uncorrected energy = -0.3491 Ry per atom; density of states at the Fermi level = 11.773 states/eV/f.u.
1.0
5.508 0.000 0.000
0.000 5.508 0.000
0.000 0.000 11.866
Ce Sm Er Te
1 2 1 5
Cartesian
0.000 0.000 0.000
2.754 2.754 4.119
2.754 2.754 7.747
0.000 0.000 5.933
0.000 0.000 3.001
0.000 0.000 8.866
0.000 2.754 5.933
2.754 0.000 5.933
2.754 2.754 0.000


2.
RbLi3Be (PBE, relaxed); offset from the most stable computed form = 0.876 eV/atom; ΔH_f (0 K) = 1283.2 meV per atom; density of states at the Fermi level = 2.510 states/eV/f.u.
1.0
5.321 0.000 0.000
0.000 5.321 0.000
0.000 0.000 5.321
Rb Li Be
1 3 1
Cartesian
0.000 0.000 0.000
0.000 0.000 2.661
0.000 2.661 0.000
2.661 0.000 0.000
2.661 2.661 2.661


In μB per atom, the size of the total moment values for the records above are, in order, 0.187, 0.000.
In Mg/m³, the calculated density values for the records above are, in order, 5.75, 1.27.